(1)
# SrLi2PmPb2, optimized geometry, DFT PBE-GGA
# Energy of formation from the pure elements   -0.505 eV per atom
data_SrLi2PmPb2
_chemical_formula_sum 'Sr1 Li2 Pm1 Pb2'
_cell_length_a 4.9359
_cell_length_b 4.9359
_cell_length_c 7.9605
_cell_angle_alpha 90.00
_cell_angle_beta 90.00
_cell_angle_gamma 120.00
_space_group_name_H-M_alt 'P -3 m 1'
_space_group_IT_number 164
_space_group_name_Hall '-P 3 2"'
loop_
_atom_site_label
_atom_site_type_symbol
_atom_site_fract_x
_atom_site_fract_y
_atom_site_fract_z
_atom_site_occupancy
Sr1 Sr 0.0000 0.0000 0.0000 1
Li1 Li 0.3333 0.6667 0.7057 1
Pm1 Pm 0.0000 0.0000 0.5000 1
Pb1 Pb 0.3333 0.6667 0.2827 1

(2)
# Al2Cr, optimized geometry, DFT PBE-GGA
# Energy of formation from the pure elements   -0.115 eV per atom
data_Al2Cr
_chemical_formula_sum 'Al8 Cr4'
_cell_length_a 5.2277
_cell_length_b 3.9475
_cell_length_c 8.2657
_cell_angle_alpha 90.00
_cell_angle_beta 90.00
_cell_angle_gamma 90.00
_space_group_name_H-M_alt 'P n m a'
_space_group_IT_number 62
loop_
_space_group_symop_operation_xyz
'x,y,z'
'-x,-y,-z'
'-x+1/2,-y,z+1/2'
'x+1/2,y,-z+1/2'
'x+1/2,-y+1/2,-z+1/2'
'-x+1/2,y+1/2,z+1/2'
'-x,y+1/2,-z'
'x,-y+1/2,z'
loop_
_atom_site_label
_atom_site_type_symbol
_atom_site_fract_x
_atom_site_fract_y
_atom_site_fract_z
_atom_site_occupancy
Al1 Al 0.1207 0.2500 0.2173 1
Al2 Al 0.1457 0.2500 0.5587 1
Cr1 Cr 0.1436 0.2500 0.8806 1

(3)
# LaCdP2, optimized geometry, DFT PBE-GGA
# Energy of formation from the pure elements   -0.409 eV per atom
data_LaCdP2
_chemical_formula_sum 'La2 Cd2 P4'
_cell_length_a 4.3967
_cell_length_b 5.9899
_cell_length_c 7.0266
_cell_angle_alpha 90.00
_cell_angle_beta 90.00
_cell_angle_gamma 90.00
_space_group_name_H-M_alt 'C m m m'
_space_group_IT_number 65
_space_group_name_Hall '-C 2 2'
loop_
_atom_site_label
_atom_site_type_symbol
_atom_site_fract_x
_atom_site_fract_y
_atom_site_fract_z
_atom_site_occupancy
La1 La 0.0000 0.0000 0.0000 1
Cd1 Cd 0.0000 0.0000 0.5000 1
P1 P 0.0000 0.5000 0.2596 1

(4)
# La4Pr7Dy, optimized geometry, DFT PBE-GGA
# Energy of formation from the pure elements   0.220 eV per atom
data_La4Pr7Dy
_chemical_formula_sum 'La8 Pr14 Dy2'
_cell_length_a 12.3329
_cell_length_b 6.2039
_cell_length_c 13.1932
_cell_angle_alpha 90.00
_cell_angle_beta 117.36
_cell_angle_gamma 90.00
_space_group_name_H-M_alt 'C 1 2/m 1'
_space_group_IT_number 12
loop_
_space_group_symop_operation_xyz
'x,y,z'
'-x,-y,-z'
'-x,y,-z'
'x,-y,z'
'x+1/2,y+1/2,z'
'-x+1/2,-y+1/2,-z'
'-x+1/2,y+1/2,-z'
'x+1/2,-y+1/2,z'
loop_
_atom_site_label
_atom_site_type_symbol
_atom_site_fract_x
_atom_site_fract_y
_atom_site_fract_z
_atom_site_occupancy
La1 La 0.0574 0.0000 0.3305 1
La2 La 0.1360 0.5000 0.7781 1
Pr1 Pr 0.0000 0.0000 0.0000 1
Pr2 Pr 0.1343 0.5000 0.5021 1
Pr3 Pr 0.2102 0.0000 0.9226 1
Pr4 Pr 0.2454 0.5000 0.3126 1
Dy1 Dy 0.0000 0.5000 0.0000 1

(5)
# ScGeOs, optimized geometry, DFT PBE-GGA
# Energy of formation from the pure elements   -0.630 eV per atom
data_ScGeOs
_chemical_formula_sum 'Sc3 Ge3 Os3'
_cell_length_a 6.9936
_cell_length_b 6.9936
_cell_length_c 3.4706
_cell_angle_alpha 90.00
_cell_angle_beta 90.00
_cell_angle_gamma 120.00
_space_group_name_H-M_alt 'P -6 2 m'
_space_group_IT_number 189
_space_group_name_Hall 'P -6 -2'
loop_
_atom_site_label
_atom_site_type_symbol
_atom_site_fract_x
_atom_site_fract_y
_atom_site_fract_z
_atom_site_occupancy
Sc1 Sc 0.0000 0.4023 0.0000 1
Ge1 Ge 0.0000 0.0000 0.0000 1
Ge2 Ge 0.3333 0.6667 0.5000 1
Os1 Os 0.0000 0.7439 0.5000 1

(6)
# Sr2BSe, optimized geometry, DFT PBE-GGA
# E_form (uncorrected)   -253 meV/atom
data_Sr2BSe
_chemical_formula_sum 'Sr2 B1 Se1'
_cell_length_a 5.2336
_cell_length_b 5.2336
_cell_length_c 3.7230
_cell_angle_alpha 90.00
_cell_angle_beta 90.00
_cell_angle_gamma 90.00
_space_group_name_H-M_alt 'P 4/m m m'
_space_group_IT_number 123
_space_group_name_Hall '-P 4 2'
loop_
_atom_site_label
_atom_site_type_symbol
_atom_site_fract_x
_atom_site_fract_y
_atom_site_fract_z
_atom_site_occupancy
Sr1 Sr 0.0000 0.5000 0.0000 1
B1 B 0.0000 0.0000 0.5000 1
Se1 Se 0.5000 0.5000 0.5000 1

(7)
# Sn3SbMo, optimized geometry, DFT PBE-GGA
# E_form (uncorrected)   1434 meV/atom
data_Sn3SbMo
_chemical_formula_sum 'Sn3 Sb1 Mo1'
_cell_length_a 5.6511
_cell_length_b 5.6511
_cell_length_c 5.6511
_cell_angle_alpha 90.00
_cell_angle_beta 90.00
_cell_angle_gamma 90.00
_space_group_name_H-M_alt 'P m -3 m'
_space_group_IT_number 221
_space_group_name_Hall '-P 4 2 3'
loop_
_atom_site_label
_atom_site_type_symbol
_atom_site_fract_x
_atom_site_fract_y
_atom_site_fract_z
_atom_site_occupancy
Sn1 Sn 0.0000 0.0000 0.5000 1
Sb1 Sb 0.0000 0.0000 0.0000 1
Mo1 Mo 0.5000 0.5000 0.5000 1

(8)
# Dy3GaC, optimized geometry, DFT PBE-GGA
# Energy of formation from the pure elements   1.181 eV per atom
data_Dy3GaC
_chemical_formula_sum 'Dy3 Ga1 C1'
_cell_length_a 5.3008
_cell_length_b 5.3008
_cell_length_c 5.3008
_cell_angle_alpha 90.00
_cell_angle_beta 90.00
_cell_angle_gamma 90.00
_space_group_name_H-M_alt 'P m -3 m'
_space_group_IT_number 221
_space_group_name_Hall '-P 4 2 3'
loop_
_atom_site_label
_atom_site_type_symbol
_atom_site_fract_x
_atom_site_fract_y
_atom_site_fract_z
_atom_site_occupancy
Dy1 Dy 0.0000 0.0000 0.5000 1
Ga1 Ga 0.0000 0.0000 0.0000 1
C1 C 0.5000 0.5000 0.5000 1